--- 1 ---
Density functional theory data (GGA-PBE) for a geometry-optimized SiS3Cl structure.

Results
The mass density is 2628 kg/m³.

Cell lengths 4.6558, 4.6558, 4.6558 Å; angles 90.00, 90.00, 90.00 degrees
Fractional coordinates of all 5 atoms:
1 Si 0.5000 0.5000 0.5000
2 S 0.0000 0.0000 0.5000
3 S 0.5000 0.0000 0.0000
4 S 0.0000 0.5000 0.0000
5 Cl 0.0000 0.0000 0.0000


--- 2 ---
Density functional theory data (GGA-PBE) for a geometry-optimized SiS3Cl structure.

Results
The mass density is 2849 kg/m³.

Cell lengths 4.5320, 4.5320, 4.5320 Å; angles 90.00, 90.00, 90.00 degrees
Fractional coordinates of all 5 atoms:
1 S 0.0000 0.0000 0.5000
2 S 0.5000 0.0000 0.0000
3 S 0.0000 0.5000 0.0000
4 Si 0.0000 0.0000 0.0000
5 Cl 0.5000 0.5000 0.5000


Order from most stable to least stable according to the calculation: 2, 1


--- 1 ---
Density functional theory data (GGA-PBE) for a geometry-optimized SiSCl2 structure.

Results
The mass density is 2496 kg/m³.

Cell lengths 8.7976, 8.7976, 8.7976 Å; angles 22.46, 22.46, 22.46 degrees
Site moments in Bohr magnetons follow the coordinates.
Fractional coordinates of all 4 atoms:
1 Cl 0.9066 0.9066 0.9066  0.00
2 Cl 0.0934 0.0934 0.0934  0.00
3 Si 0.5000 0.5000 0.5000  0.00
4 S 0.0000 0.0000 0.0000  0.16


--- 2 ---
Density functional theory data (GGA-PBE) for a geometry-optimized SiSCl2 structure.

Results
The mass density is 2700 kg/m³.

Cell lengths 4.8487, 4.8487, 4.8487 Å; angles 60.00, 60.00, 60.00 degrees
Site moments in Bohr magnetons follow the coordinates.
Fractional coordinates of all 4 atoms:
1 Cl 0.2500 0.2500 0.2500  0.21
2 Cl 0.7500 0.7500 0.7500  0.21
3 S 0.5000 0.5000 0.5000  0.98
4 Si 0.0000 0.0000 0.0000  -0.01


--- 3 ---
Density functional theory data (GGA-PBE) for a geometry-optimized SiSCl2 structure.

Results
The mass density is 2283 kg/m³.

Cell lengths 12.2035, 12.2035, 12.2035 Å; angles 14.21, 14.21, 14.21 degrees
Site moments in Bohr magnetons follow the coordinates.
Fractional coordinates of all 4 atoms:
1 Cl 0.0570 0.0570 0.0570  0.00
2 Cl 0.9430 0.9430 0.9430  0.00
3 S 0.5000 0.5000 0.5000  0.23
4 Si 0.0000 0.0000 0.0000  0.00


Order from most stable to least stable according to the calculation: 3, 1, 2


--- 1 ---
Density functional theory data (GGA-PBE) for a geometry-optimized SiSCl3 structure.

Results
The mass density is 2404 kg/m³.

Cell lengths 4.8630, 4.8630, 4.8630 Å; angles 90.00, 90.00, 90.00 degrees
Site moments in Bohr magnetons follow the coordinates.
Fractional coordinates of all 5 atoms:
1 S 0.5000 0.5000 0.5000  1.25
2 Cl 0.5000 0.0000 0.0000  0.10
3 Cl 0.0000 0.5000 0.0000  0.06
4 Cl 0.0000 0.0000 0.5000  0.12
5 Si 0.0000 0.0000 0.0000  0.01


--- 2 ---
Density functional theory data (GGA-PBE) for a geometry-optimized SiSCl3 structure.

Results
The mass density is 2331 kg/m³.

Cell lengths 4.9136, 4.9136, 4.9136 Å; angles 90.00, 90.00, 90.00 degrees
Site moments in Bohr magnetons follow the coordinates.
Fractional coordinates of all 5 atoms:
1 Si 0.5000 0.5000 0.5000  0.29
2 S 0.0000 0.0000 0.0000  -0.03
3 Cl 0.0000 0.0000 0.5000  -0.01
4 Cl 0.0000 0.5000 0.0000  -0.01
5 Cl 0.5000 0.0000 0.0000  -0.02


Order from most stable to least stable according to the calculation: 1, 2


--- 1 ---
Density functional theory data (GGA-PBE) for a geometry-optimized TaSiSCl2 structure.

Results
The mass density is 4968 kg/m³.

Cell lengths 4.6429, 4.6429, 4.8382 Å; angles 90.00, 90.00, 90.00 degrees
Site moments in Bohr magnetons follow the coordinates.
Fractional coordinates of all 5 atoms:
1 Ta 0.5000 0.5000 0.5000  2.23
2 Cl 0.0000 0.5000 0.0000  0.00
3 Cl 0.5000 0.0000 0.0000  0.00
4 S 0.0000 0.0000 0.5000  -0.07
5 Si 0.0000 0.0000 0.0000  -0.01


--- 2 ---
Density functional theory data (GGA-PBE) for a geometry-optimized TaSiSCl2 structure.

Results
The mass density is 4571 kg/m³.

Cell lengths 4.8364, 4.8364, 4.8457 Å; angles 90.00, 90.00, 90.00 degrees
Site moments in Bohr magnetons follow the coordinates.
Fractional coordinates of all 5 atoms:
1 Cl 0.0000 0.5000 0.0000  0.02
2 Cl 0.5000 0.0000 0.0000  0.02
3 S 0.0000 0.0000 0.5000  -0.03
4 Ta 0.0000 0.0000 0.0000  0.17
5 Si 0.5000 0.5000 0.5000  0.38


Order from most stable to least stable according to the calculation: 2, 1


--- 1 ---
Density functional theory data (GGA-PBE) for a geometry-optimized SiTcS2Cl structure.

Results
The mass density is 3620 kg/m³.

Cell lengths 4.6015, 4.6015, 4.8886 Å; angles 90.00, 90.00, 90.00 degrees
Site moments in Bohr magnetons follow the coordinates.
Fractional coordinates of all 5 atoms:
1 S 0.0000 0.5000 0.0000  -0.01
2 S 0.5000 0.0000 0.0000  -0.01
3 Si 0.5000 0.5000 0.5000  0.15
4 Cl 0.0000 0.0000 0.5000  -0.01
5 Tc 0.0000 0.0000 0.0000  0.53


--- 2 ---
Density functional theory data (GGA-PBE) for a geometry-optimized SiTcS2Cl structure.

Results
The mass density is 3792 kg/m³.

Cell lengths 4.6408, 4.6408, 4.5880 Å; angles 90.00, 90.00, 90.00 degrees
Site moments in Bohr magnetons follow the coordinates.
Fractional coordinates of all 5 atoms:
1 Cl 0.0000 0.0000 0.5000  0.06
2 Si 0.0000 0.0000 0.0000  -0.02
3 S 0.5000 0.0000 0.0000  0.10
4 S 0.0000 0.5000 0.0000  0.10
5 Tc 0.5000 0.5000 0.5000  3.99


Order from most stable to least stable according to the calculation: 1, 2


--- 1 ---
Density functional theory data (GGA-PBE) for a geometry-optimized SiTeSCl2 structure.

Results
The mass density is 2960 kg/m³.

Cell lengths 5.2179, 5.2179, 5.3289 Å; angles 90.00, 90.00, 90.00 degrees
Site moments in Bohr magnetons follow the coordinates.
Fractional coordinates of all 5 atoms:
1 S 0.0000 0.0000 0.5000  -0.05
2 Cl 0.0000 0.5000 0.0000  0.01
3 Cl 0.5000 0.0000 0.0000  0.01
4 Te 0.0000 0.0000 0.0000  0.00
5 Si 0.5000 0.5000 0.5000  0.32


--- 2 ---
Density functional theory data (GGA-PBE) for a geometry-optimized SiTeSCl2 structure.

Results
The mass density is 3864 kg/m³.

Cell lengths 4.6491, 4.6491, 5.1427 Å; angles 90.00, 90.00, 90.00 degrees
Site moments in Bohr magnetons follow the coordinates.
Fractional coordinates of all 5 atoms:
1 Te 0.5000 0.5000 0.5000  0.38
2 S 0.0000 0.0000 0.5000  0.00
3 Cl 0.0000 0.5000 0.0000  0.05
4 Cl 0.5000 0.0000 0.0000  0.05
5 Si 0.0000 0.0000 0.0000  0.00


Order from most stable to least stable according to the calculation: 2, 1


--- 1 ---
Density functional theory data (GGA-PBE) for a geometry-optimized SiWS2Cl structure.

Results
The mass density is 5489 kg/m³.

Cell lengths 4.6282, 4.3996, 4.6282 Å; angles 90.00, 90.00, 90.00 degrees
Site moments in Bohr magnetons follow the coordinates.
Fractional coordinates of all 5 atoms:
1 W 0.5000 0.5000 0.5000  3.02
2 Si 0.0000 0.0000 0.0000  -0.02
3 S 0.0000 0.0000 0.5000  -0.09
4 S 0.5000 0.0000 0.0000  -0.10
5 Cl 0.0000 0.5000 0.0000  0.06


--- 2 ---
Density functional theory data (GGA-PBE) for a geometry-optimized SiWS2Cl structure.

Results
The mass density is 4884 kg/m³.

Cell lengths 4.6741, 4.6741, 4.8477 Å; angles 90.00, 90.00, 90.00 degrees
Site moments in Bohr magnetons follow the coordinates.
Fractional coordinates of all 5 atoms:
1 W 0.0000 0.0000 0.0000  0.18
2 Si 0.5000 0.5000 0.5000  0.22
3 S 0.5000 0.0000 0.0000  -0.03
4 S 0.0000 0.5000 0.0000  -0.03
5 Cl 0.0000 0.0000 0.5000  0.01


Order from most stable to least stable according to the calculation: 2, 1


--- 1 ---
Density functional theory data (GGA-PBE) for a geometry-optimized YSiS2Cl structure.

Results
The mass density is 3531 kg/m³.

Cell lengths 4.7323, 4.7323, 4.5478 Å; angles 90.00, 90.00, 90.00 degrees
Fractional coordinates of all 5 atoms:
1 Si 0.0000 0.0000 0.0000
2 Y 0.5000 0.5000 0.5000
3 S 0.5000 0.0000 0.0000
4 S 0.0000 0.5000 0.0000
5 Cl 0.0000 0.0000 0.5000


--- 2 ---
Density functional theory data (GGA-PBE) for a geometry-optimized YSiS2Cl structure.

Results
The mass density is 2549 kg/m³.

Cell lengths 5.2863, 5.2863, 5.0480 Å; angles 90.00, 90.00, 90.00 degrees
Fractional coordinates of all 5 atoms:
1 S 0.5000 0.0000 0.0000
2 S 0.0000 0.5000 0.0000
3 Cl 0.0000 0.0000 0.5000
4 Si 0.5000 0.5000 0.5000
5 Y 0.0000 0.0000 0.0000


Order from most stable to least stable according to the calculation: 1, 2